(1)
The following is a DFT calculation (PBE) of a relaxed structure of Ta2AgBr.

Results
Excess energy over the best structure of this formula in the dataset ... 714.6 meV/atom
E_form (uncorrected) ... 909 meV/atom
SG ... P4/mmm (123)
Total magnetization ... 0.00 μB per formula unit

Structure (POSCAR):
```
Ta2AgBr
1.0
4.031 0.000 0.000
0.000 4.031 0.000
0.000 0.000 4.799
Ta Ag Br
2 1 1
Direct
0.000 0.500 0.000
0.500 0.000 0.000
0.000 0.000 0.500
0.500 0.500 0.500
```


(2)
The following is a DFT calculation (PBE) of a relaxed structure of Ta2AgBr.

Results
Excess energy over the best structure of this formula in the dataset ... 469.8 meV/atom
E_form (uncorrected) ... 664 meV/atom
SG ... Cmmm (65)
Total magnetization ... 0.00 μB per formula unit

Structure (POSCAR):
```
Ta2AgBr
1.0
1.523 -2.577 0.000
1.523 2.577 0.000
0.000 0.000 9.781
Ta Ag Br
2 1 1
Direct
0.000 0.000 0.245
0.000 0.000 0.755
0.500 0.500 0.500
0.500 0.500 0.000
```


(3)
The following is a DFT calculation (PBE) of a relaxed structure of Ta2AgBr.

Results
Excess energy over the best structure of this formula in the dataset ... 31.6 meV/atom
E_form (uncorrected) ... 226 meV/atom
SG ... P4mm (99)
Total magnetization ... 0.00 μB per formula unit

Structure (POSCAR):
```
Ta2AgBr
1.0
2.997 0.000 0.000
0.000 2.997 0.000
0.000 0.000 9.229
Ta Ag Br
2 1 1
Direct
0.000 0.000 0.000
0.500 0.500 0.235
0.000 0.000 0.455
0.500 0.500 0.804
```


(4)
The following is a DFT calculation (PBE) of a relaxed structure of Ta4AgBr.

Results
E_form (uncorrected) ... 868 meV/atom
SG ... F-43m (216)
Total magnetization ... 0.00 μB per formula unit

Structure (POSCAR):
```
Ta4AgBr
1.0
0.000 3.935 3.935
3.935 0.000 3.935
3.935 3.935 0.000
Ta Ag Br
4 1 1
Direct
0.123 0.123 0.123
0.123 0.123 0.631
0.123 0.631 0.123
0.631 0.123 0.123
0.750 0.750 0.750
0.500 0.500 0.500
```


(5)
The following is a DFT calculation (PBE) of a relaxed structure of Ta2AgBr.

Results
Excess energy over the best structure of this formula in the dataset ... 692.7 meV/atom
E_form (uncorrected) ... 887 meV/atom
SG ... I-42d (122)
Total magnetization ... 0.00 μB per formula unit

Structure (POSCAR):
```
Ta2AgBr
1.0
-2.011 2.011 10.026
2.011 -2.011 10.026
2.011 2.011 -10.026
Ta Ag Br
4 2 2
Direct
0.119 0.625 0.994
0.375 0.369 0.494
0.631 0.125 0.006
0.875 0.881 0.506
0.000 0.000 0.000
0.750 0.250 0.500
0.250 0.750 0.500
0.500 0.500 0.000
```


(6)
The following is a DFT calculation (PBE) of a relaxed structure of Ta2AgBr.

Results
Excess energy over the best structure of this formula in the dataset ... 775.2 meV/atom
E_form (uncorrected) ... 969 meV/atom
SG ... I-4m2 (119)
Total magnetization ... 0.00 μB per formula unit

Structure (POSCAR):
```
Ta2AgBr
1.0
-2.059 2.059 4.465
2.059 -2.059 4.465
2.059 2.059 -4.465
Ta Ag Br
2 1 1
Direct
0.000 0.000 0.000
0.750 0.250 0.500
0.250 0.750 0.500
0.500 0.500 0.000
```


(7)
The following is a DFT calculation (PBE) of a relaxed structure of Ta2AgBr.

Results
Excess energy over the best structure of this formula in the dataset ... 704.5 meV/atom
E_form (uncorrected) ... 899 meV/atom
SG ... I4/mmm (139)
Total magnetization ... 0.00 μB per formula unit

Structure (POSCAR):
```
Ta2AgBr
1.0
-2.007 2.007 4.812
2.007 -2.007 4.812
2.007 2.007 -4.812
Ta Ag Br
2 1 1
Direct
0.250 0.750 0.500
0.750 0.250 0.500
0.000 0.000 0.000
0.500 0.500 0.000
```


(8)
The following is a DFT calculation (PBE) of a relaxed structure of Ta2AgBr.

Results
Excess energy over the best structure of this formula in the dataset ... 416.4 meV/atom
E_form (uncorrected) ... 611 meV/atom
SG ... C2/m (12)
Total magnetization ... 0.00 μB per formula unit

Structure (POSCAR):
```
Ta2AgBr
1.0
4.909 -1.548 0.000
4.909 1.548 0.000
-1.162 0.000 5.126
Ta Ag Br
2 1 1
Direct
0.245 0.245 0.284
0.755 0.755 0.716
0.000 0.000 0.500
0.500 0.500 0.000
```


(9)
The following is a DFT calculation (PBE) of a relaxed structure of TaAgBr6.

Results
Excess energy over the best structure of this formula in the dataset ... 0.0 meV/atom
E_form (uncorrected) ... -728 meV/atom
SG ... P-1 (2)
Total magnetization ... 0.00 μB per formula unit

Structure (POSCAR):
```
TaAgBr6
1.0
6.812 0.000 0.000
-3.400 5.907 0.000
-0.010 -3.926 6.158
Ta Ag Br
1 1 6
Direct
0.000 0.000 0.000
0.500 0.000 0.500
0.073 0.849 0.237
0.223 0.836 0.764
0.387 0.459 0.236
0.613 0.541 0.764
0.777 0.164 0.236
0.927 0.151 0.763
```


(10)
The following is a DFT calculation (PBE) of a relaxed structure of TaAg4Br.

Results
E_form (uncorrected) ... 716 meV/atom
SG ... F-43m (216)
Total magnetization ... 2.38 μB per formula unit

Structure (POSCAR):
```
TaAg4Br
1.0
0.000 3.926 3.926
3.926 0.000 3.926
3.926 3.926 0.000
Ta Ag Br
1 4 1
Direct
0.000 0.000 0.000
0.124 0.625 0.625
0.625 0.124 0.625
0.625 0.625 0.124
0.625 0.625 0.625
0.250 0.250 0.250
```


(11)
The following is a DFT calculation (PBE) of a relaxed structure of Ta2AgBr.

Results
Excess energy over the best structure of this formula in the dataset ... 377.1 meV/atom
E_form (uncorrected) ... 571 meV/atom
SG ... Pm (6)
Total magnetization ... 0.00 μB per formula unit

Structure (POSCAR):
```
Ta2AgBr
1.0
2.949 0.000 0.000
0.000 4.757 0.000
-1.305 0.000 5.348
Ta Ag Br
2 1 1
Direct
0.000 0.000 0.000
0.340 0.500 0.734
0.636 0.500 0.250
0.270 0.000 0.546
```


(12)
The following is a DFT calculation (PBE) of a relaxed structure of Ta2AgBr.

Results
Excess energy over the best structure of this formula in the dataset ... 17.8 meV/atom
E_form (uncorrected) ... 212 meV/atom
SG ... Cmm2 (35)
Total magnetization ... 0.00 μB per formula unit

Structure (POSCAR):
```
Ta2AgBr
1.0
1.753 -2.512 0.000
1.753 2.512 0.000
0.000 0.000 9.255
Ta Ag Br
2 1 1
Direct
0.000 0.000 0.000
0.500 0.500 0.224
0.500 0.500 0.758
0.000 0.000 0.455
```


(13)
The following is a DFT calculation (PBE) of a relaxed structure of Ta2AgBr.

Results
Excess energy over the best structure of this formula in the dataset ... 280.3 meV/atom
E_form (uncorrected) ... 474 meV/atom
SG ... R-3m (166)
Total magnetization ... 0.00 μB per formula unit

Structure (POSCAR):
```
Ta2AgBr
1.0
1.512 0.873 9.312
-1.512 0.873 9.312
0.000 -1.746 9.312
Ta Ag Br
2 1 1
Direct
0.247 0.247 0.247
0.753 0.753 0.753
0.000 0.000 0.000
0.500 0.500 0.500
```


(14)
The following is a DFT calculation (PBE) of a relaxed structure of TaAgBr4.

Results
E_form (uncorrected) ... 1290 meV/atom
SG ... F-43m (216)
Total magnetization ... 3.26 μB per formula unit

Structure (POSCAR):
```
TaAgBr4
1.0
0.000 4.337 4.337
4.337 0.000 4.337
4.337 4.337 0.000
Ta Ag Br
1 1 4
Direct
0.000 0.000 0.000
0.750 0.750 0.750
0.374 0.374 0.374
0.374 0.374 0.877
0.374 0.877 0.374
0.877 0.374 0.374
```


(15)
The following is a DFT calculation (PBE) of a relaxed structure of Ta2AgBr.

Results
Excess energy over the best structure of this formula in the dataset ... 608.9 meV/atom
E_form (uncorrected) ... 803 meV/atom
SG ... Cmmm (65)
Total magnetization ... 0.00 μB per formula unit

Structure (POSCAR):
```
Ta2AgBr
1.0
2.860 -4.437 0.000
2.860 4.437 0.000
0.000 0.000 2.955
Ta Ag Br
2 1 1
Direct
0.000 0.500 0.000
0.500 0.000 0.000
0.000 0.000 0.500
0.500 0.500 0.500
```


(16)
The following is a DFT calculation (PBE) of a relaxed structure of TaAgBr.

Results
Excess energy over the best structure of this formula in the dataset ... 853.4 meV/atom
E_form (uncorrected) ... 994 meV/atom
SG ... F-43m (216)
Total magnetization ... 1.06 μB per formula unit

Structure (POSCAR):
```
TaAgBr
1.0
0.000 3.217 3.217
3.217 0.000 3.217
3.217 3.217 0.000
Ta Ag Br
1 1 1
Direct
0.000 0.000 0.000
0.250 0.250 0.250
0.750 0.750 0.750
```


(17)
The following is a DFT calculation (PBE) of a relaxed structure of TaAgBr.

Results
Excess energy over the best structure of this formula in the dataset ... 499.4 meV/atom
E_form (uncorrected) ... 640 meV/atom
SG ... P-6m2 (187)
Total magnetization ... 0.00 μB per formula unit

Structure (POSCAR):
```
TaAgBr
1.0
4.634 0.000 0.000
-2.317 4.013 0.000
0.000 0.000 3.106
Ta Ag Br
1 1 1
Direct
0.000 0.000 0.000
0.333 0.667 0.500
0.667 0.333 0.000
```


(18)
The following is a DFT calculation (PBE) of a relaxed structure of TaAgBr.

Results
Excess energy over the best structure of this formula in the dataset ... 0.0 meV/atom
E_form (uncorrected) ... 140 meV/atom
SG ... P3m1 (156)
Total magnetization ... 0.00 μB per formula unit

Structure (POSCAR):
```
TaAgBr
1.0
3.161 0.000 0.000
-1.580 2.737 0.000
0.000 0.000 7.438
Ta Ag Br
1 1 1
Direct
0.000 0.000 0.000
0.667 0.333 0.305
0.333 0.667 0.742
```


(19)
The following is a DFT calculation (PBE) of a relaxed structure of Ta2AgBr.

Results
Excess energy over the best structure of this formula in the dataset ... 378.0 meV/atom
E_form (uncorrected) ... 572 meV/atom
SG ... P2/m (10)
Total magnetization ... 0.00 μB per formula unit

Structure (POSCAR):
```
Ta2AgBr
1.0
2.986 0.000 0.000
0.000 4.457 0.000
-1.040 0.000 5.675
Ta Ag Br
2 1 1
Direct
0.025 0.000 0.244
0.975 0.000 0.756
0.500 0.500 0.000
0.000 0.500 0.500
```


(20)
The following is a DFT calculation (PBE) of a relaxed structure of TaAgBr.

Results
Excess energy over the best structure of this formula in the dataset ... 208.9 meV/atom
E_form (uncorrected) ... 349 meV/atom
SG ... Fmm2 (42)
Total magnetization ... 0.00 μB per formula unit

Structure (POSCAR):
```
TaAgBr
1.0
0.000 2.530 7.487
1.725 0.000 7.487
1.725 2.530 0.000
Ta Ag Br
1 1 1
Direct
0.000 0.000 0.000
0.649 0.649 0.351
0.364 0.364 0.636
```


(21)
The following is a DFT calculation (PBE) of a relaxed structure of Ta2AgBr.

Results
Excess energy over the best structure of this formula in the dataset ... 619.1 meV/atom
E_form (uncorrected) ... 813 meV/atom
SG ... Fm-3m (225)
Total magnetization ... 0.00 μB per formula unit

Structure (POSCAR):
```
Ta2AgBr
1.0
0.000 3.299 3.299
3.299 0.000 3.299
3.299 3.299 0.000
Ta Ag Br
2 1 1
Direct
0.250 0.250 0.250
0.750 0.750 0.750
0.000 0.000 0.000
0.500 0.500 0.500
```


(22)
The following is a DFT calculation (PBE) of a relaxed structure of Ta3AgBr.

Results
Excess energy over the best structure of this formula in the dataset ... 562.2 meV/atom
E_form (uncorrected) ... 2132 meV/atom
SG ... Pm-3m (221)
Total magnetization ... 0.00 μB per formula unit

Structure (POSCAR):
```
Ta3AgBr
1.0
4.980 0.000 0.000
0.000 4.980 0.000
0.000 0.000 4.980
Ta Ag Br
3 1 1
Direct
0.000 0.000 0.500
0.000 0.500 0.000
0.500 0.000 0.000
0.000 0.000 0.000
0.500 0.500 0.500
```


(23)
The following is a DFT calculation (PBE) of a relaxed structure of TaAgBr.

Results
Excess energy over the best structure of this formula in the dataset ... 156.2 meV/atom
E_form (uncorrected) ... 297 meV/atom
SG ... I4mm (107)
Total magnetization ... 0.00 μB per formula unit

Structure (POSCAR):
```
TaAgBr
1.0
-1.542 1.542 7.075
1.542 -1.542 7.075
1.542 1.542 -7.075
Ta Ag Br
1 1 1
Direct
0.000 0.000 0.000
0.634 0.634 0.000
0.380 0.380 0.000
```


(24)
The following is a DFT calculation (PBE) of a relaxed structure of Ta2AgBr.

Results
Excess energy over the best structure of this formula in the dataset ... 0.0 meV/atom
E_form (uncorrected) ... 194 meV/atom
SG ... R3m (160)
Total magnetization ... 0.00 μB per formula unit

Structure (POSCAR):
```
Ta2AgBr
1.0
1.539 0.888 10.048
-1.539 0.888 10.048
0.000 -1.777 10.048
Ta Ag Br
2 1 1
Direct
0.000 0.000 0.000
0.251 0.251 0.251
0.744 0.744 0.744
0.520 0.520 0.520
```


(25)
The following is a DFT calculation (PBE) of a relaxed structure of Ta2AgBr.

Results
Excess energy over the best structure of this formula in the dataset ... 497.9 meV/atom
E_form (uncorrected) ... 692 meV/atom
SG ... Immm (71)
Total magnetization ... 0.00 μB per formula unit

Structure (POSCAR):
```
Ta2AgBr
1.0
-1.594 2.420 4.917
1.594 -2.420 4.917
1.594 2.420 -4.917
Ta Ag Br
2 1 1
Direct
0.241 0.241 0.000
0.759 0.759 0.000
0.500 0.000 0.500
0.000 0.500 0.500
```


(26)
The following is a DFT calculation (PBE) of a relaxed structure of Ta2AgBr.

Results
Excess energy over the best structure of this formula in the dataset ... 401.1 meV/atom
E_form (uncorrected) ... 595 meV/atom
SG ... Cm (8)
Total magnetization ... 0.00 μB per formula unit

Structure (POSCAR):
```
Ta2AgBr
1.0
5.590 -1.522 0.000
5.590 1.522 0.000
-2.277 0.000 4.508
Ta Ag Br
2 1 1
Direct
0.000 0.000 0.000
0.732 0.732 0.233
0.503 0.503 0.502
0.278 0.278 0.777
```


(27)
The following is a DFT calculation (PBE) of a relaxed structure of Ta2AgBr.

Results
Excess energy over the best structure of this formula in the dataset ... 899.7 meV/atom
E_form (uncorrected) ... 1094 meV/atom
SG ... F-43m (216)
Total magnetization ... 0.50 μB per formula unit

Structure (POSCAR):
```
Ta2AgBr
1.0
0.000 3.392 3.392
3.392 0.000 3.392
3.392 3.392 0.000
Ta Ag Br
2 1 1
Direct
0.000 0.000 0.000
0.250 0.250 0.250
0.500 0.500 0.500
0.750 0.750 0.750
```


(28)
The following is a DFT calculation (PBE) of a relaxed structure of TaAgBr6.

Results
Excess energy over the best structure of this formula in the dataset ... 7.5 meV/atom
E_form (uncorrected) ... -720 meV/atom
SG ... C2/m (12)
Total magnetization ... 0.00 μB per formula unit

Structure (POSCAR):
```
TaAgBr6
1.0
3.479 -6.308 0.000
3.479 6.308 0.000
-2.411 0.000 6.403
Ta Ag Br
1 1 6
Direct
0.000 0.000 0.000
0.500 0.500 0.500
0.075 0.367 0.232
0.227 0.227 0.785
0.367 0.075 0.232
0.633 0.925 0.768
0.773 0.773 0.215
0.925 0.633 0.768
```


(29)
The following is a DFT calculation (PBE) of a relaxed structure of Ta2AgBr.

Results
Excess energy over the best structure of this formula in the dataset ... 546.0 meV/atom
E_form (uncorrected) ... 740 meV/atom
SG ... Pmmm (47)
Total magnetization ... 0.00 μB per formula unit

Structure (POSCAR):
```
Ta2AgBr
1.0
3.226 0.000 0.000
0.000 4.795 0.000
0.000 0.000 4.955
Ta Ag Br
2 1 1
Direct
0.000 0.000 0.000
0.500 0.500 0.000
0.000 0.500 0.500
0.500 0.000 0.500
```